1.
First-principles (PBE-GGA) data for crystalline BaZn2Mo at its relaxed geometry, as listed in the Alexandria database.

a b c (Å): 3.529 3.529 7.583
angles (deg): 90.00 90.00 90.00
Each line ends with the local moment (μB).
Fractional positions:
Zn (0.500, 0.500, 0.181)  0.00
Ba (0.000, 0.000, 0.510)  0.02
Zn (0.000, 0.000, 0.968)  0.04
Mo (0.500, 0.500, 0.841)  1.33

Computed properties:
Total energy   -3.284 eV per atom
Fermi-level density of states   2.6 states/eV per cell
Space-group type   P4mm (99)
ΔE_f   0.54 eV/atom
ΔE to the lowest computed polymorph   198 meV per atom


2.
First-principles (PBE-GGA) data for crystalline BaZn4Mo at its relaxed geometry, as listed in the Alexandria database.

a b c (Å): 5.485 5.485 5.485
angles (deg): 60.00 60.00 60.00
Each line ends with the local moment (μB).
Fractional positions:
Mo (0.000, 0.000, 0.000)  2.12
Ba (0.750, 0.750, 0.750)  0.09
Zn (0.372, 0.885, 0.372)  -0.02
Zn (0.885, 0.372, 0.372)  -0.02
Zn (0.372, 0.372, 0.885)  -0.02
Zn (0.372, 0.372, 0.372)  -0.02

Computed properties:
Total energy   -2.657 eV per atom
Fermi-level density of states   5.0 states/eV per cell
Space-group type   F-43m (216)
ΔE_f   0.32 eV/atom


3.
First-principles (PBE-GGA) data for crystalline BaZnMo at its relaxed geometry, as listed in the Alexandria database.

a b c (Å): 7.317 7.317 3.147
angles (deg): 77.57 77.59 24.84
Fractional positions:
Zn (0.695, 0.695, 0.305)
Mo (0.304, 0.304, 0.696)
Ba (0.001, 0.001, 0.999)

Computed properties:
Total energy   -3.921 eV per atom
Fermi-level density of states   2.7 states/eV per cell
Space-group type   I4mm (107)
ΔE_f   0.76 eV/atom
ΔE to the lowest computed polymorph   0 meV per atom


4.
First-principles (PBE-GGA) data for crystalline Ba2ZnMo at its relaxed geometry, as listed in the Alexandria database.

a b c (Å): 3.700 3.700 9.423
angles (deg): 90.00 90.00 90.00
Each line ends with the local moment (μB).
Fractional positions:
Zn (0.500, 0.500, 0.666)  0.01
Mo (0.000, 0.000, 0.590)  1.10
Ba (0.500, 0.500, 0.331)  -0.01
Ba (0.000, 0.000, 0.913)  0.00

Computed properties:
Total energy   -3.453 eV per atom
Fermi-level density of states   5.8 states/eV per cell
Space-group type   P4mm (99)
ΔE_f   0.53 eV/atom


5.
First-principles (PBE-GGA) data for crystalline BaZnMo3 at its relaxed geometry, as listed in the Alexandria database.

a b c (Å): 4.848 4.848 4.848
angles (deg): 90.00 90.00 90.00
Each line ends with the local moment (μB).
Fractional positions:
Mo (0.000, 0.500, 0.000)  0.53
Ba (0.500, 0.500, 0.500)  0.06
Mo (0.000, 0.000, 0.500)  0.55
Zn (0.000, 0.000, 0.000)  0.01
Mo (0.500, 0.000, 0.000)  0.48

Computed properties:
Total energy   -5.392 eV per atom
Fermi-level density of states   12.7 states/eV per cell
Space-group type   Pm-3m (221)
ΔE_f   1.75 eV/atom
ΔE to the lowest computed polymorph   0 meV per atom


6.
First-principles (PBE-GGA) data for crystalline Ba2ZnMo at its relaxed geometry, as listed in the Alexandria database.

a b c (Å): 6.799 6.799 5.540
angles (deg): 65.89 65.89 33.27
Each line ends with the local moment (μB).
Fractional positions:
Mo (0.553, 0.553, 0.447)  1.94
Zn (0.200, 0.200, 0.300)  -0.02
Ba (0.976, 0.976, 0.023)  -0.04
Ba (0.770, 0.770, 0.730)  -0.04

Computed properties:
Total energy   -3.378 eV per atom
Fermi-level density of states   3.0 states/eV per cell
Space-group type   Cm (8)
ΔE_f   0.61 eV/atom


7.
First-principles (PBE-GGA) data for crystalline BaZnMo2 at its relaxed geometry, as listed in the Alexandria database.

a b c (Å): 3.538 3.539 7.354
angles (deg): 90.00 90.00 90.00
Fractional positions:
Mo (0.000, 0.000, 0.398)
Zn (0.500, 0.500, 0.250)
Ba (0.500, 0.500, 0.750)
Mo (0.000, 0.000, 0.102)

Computed properties:
Total energy   -5.576 eV per atom
Fermi-level density of states   2.9 states/eV per cell
Space-group type   P4/mmm (123)
ΔE_f   0.64 eV/atom


8.
First-principles (PBE-GGA) data for crystalline BaZn2Mo at its relaxed geometry, as listed in the Alexandria database.

a b c (Å): 4.310 3.138 6.883
angles (deg): 89.13 90.00 90.00
Each line ends with the local moment (μB).
Fractional positions:
Zn (0.500, 0.123, 0.185)  0.01
Mo (0.500, 0.637, 0.877)  1.00
Zn (0.000, 0.131, 0.945)  0.00
Ba (0.000, 0.608, 0.492)  0.02

Computed properties:
Total energy   -3.375 eV per atom
Fermi-level density of states   2.7 states/eV per cell
Space-group type   Pm (6)
ΔE_f   0.45 eV/atom
ΔE to the lowest computed polymorph   107 meV per atom


9.
First-principles (PBE-GGA) data for crystalline BaZn2Mo at its relaxed geometry, as listed in the Alexandria database.

a b c (Å): 5.017 5.017 9.901
angles (deg): 75.32 75.32 90.00
Each line ends with the local moment (μB).
Fractional positions:
Zn (0.375, 0.625, 0.250)  -0.02
Ba (0.750, 0.250, 0.500)  0.04
Mo (0.500, 0.500, 0.000)  2.15
Ba (0.000, 0.000, 0.000)  0.04
Mo (0.250, 0.750, 0.500)  2.15
Zn (0.375, 0.125, 0.250)  -0.02
Zn (0.375, 0.625, 0.750)  0.01
Zn (0.875, 0.625, 0.750)  0.01

Computed properties:
Total energy   -3.189 eV per atom
Fermi-level density of states   7.1 states/eV per cell
Space-group type   I4_1/amd (141)
ΔE_f   0.64 eV/atom
ΔE to the lowest computed polymorph   294 meV per atom


10.
First-principles (PBE-GGA) data for crystalline BaZnMo2 at its relaxed geometry, as listed in the Alexandria database.

a b c (Å): 6.052 6.052 6.052
angles (deg): 148.41 122.64 66.97
Fractional positions:
Mo (0.774, 0.274, 0.500)
Mo (0.943, 0.943, 0.000)
Ba (0.240, 0.740, 0.500)
Zn (0.543, 0.543, 0.000)

Computed properties:
Total energy   -5.364 eV per atom
Fermi-level density of states   3.4 states/eV per cell
Space-group type   Imm2 (44)
ΔE_f   0.85 eV/atom


11.
First-principles (PBE-GGA) data for crystalline BaZnMo2 at its relaxed geometry, as listed in the Alexandria database.

a b c (Å): 10.782 10.782 10.782
angles (deg): 15.85 15.85 15.85
Fractional positions:
Mo (0.986, 0.986, 0.986)
Ba (0.750, 0.750, 0.750)
Mo (0.514, 0.514, 0.514)
Zn (0.250, 0.250, 0.250)

Computed properties:
Total energy   -5.097 eV per atom
Fermi-level density of states   5.5 states/eV per cell
Space-group type   R-3m (166)
ΔE_f   1.12 eV/atom


12.
First-principles (PBE-GGA) data for crystalline BaZn2Mo at its relaxed geometry, as listed in the Alexandria database.

a b c (Å): 5.311 5.311 2.996
angles (deg): 89.99 89.99 98.36
Fractional positions:
Ba (0.500, 0.000, 0.500)
Zn (0.000, 0.000, 0.000)
Zn (0.500, 0.500, 0.000)
Mo (0.000, 0.500, 0.500)

Computed properties:
Total energy   -3.175 eV per atom
Fermi-level density of states   2.0 states/eV per cell
Space-group type   Cmmm (65)
ΔE_f   0.65 eV/atom
ΔE to the lowest computed polymorph   308 meV per atom


13.
First-principles (PBE-GGA) data for crystalline BaZn2Mo at its relaxed geometry, as listed in the Alexandria database.

a b c (Å): 5.294 5.294 2.986
angles (deg): 90.00 90.00 90.00
Fractional positions:
Ba (0.500, 0.000, 0.500)
Zn (0.000, 0.000, 0.000)
Mo (0.000, 0.500, 0.500)
Zn (0.500, 0.500, 0.000)

Computed properties:
Total energy   -3.173 eV per atom
Fermi-level density of states   1.7 states/eV per cell
Space-group type   P4/mmm (123)
ΔE_f   0.65 eV/atom
ΔE to the lowest computed polymorph   309 meV per atom


14.
First-principles (PBE-GGA) data for crystalline BaZnMo2 at its relaxed geometry, as listed in the Alexandria database.

a b c (Å): 5.605 5.605 5.605
angles (deg): 136.27 136.27 63.57
Fractional positions:
Mo (0.500, 0.500, 0.000)
Mo (0.000, 0.000, 0.000)
Zn (0.250, 0.750, 0.500)
Ba (0.750, 0.250, 0.500)

Computed properties:
Total energy   -4.953 eV per atom
Fermi-level density of states   4.0 states/eV per cell
Space-group type   I4/mmm (139)
ΔE_f   1.26 eV/atom


15.
First-principles (PBE-GGA) data for crystalline BaZnMo at its relaxed geometry, as listed in the Alexandria database.

a b c (Å): 5.092 5.092 5.092
angles (deg): 60.00 60.00 60.00
Each line ends with the local moment (μB).
Fractional positions:
Ba (0.000, 0.000, 0.000)  0.01
Mo (0.500, 0.500, 0.500)  3.05
Zn (0.750, 0.750, 0.750)  -0.05

Computed properties:
Total energy   -3.549 eV per atom
Fermi-level density of states   2.5 states/eV per cell
Space-group type   F-43m (216)
ΔE_f   1.13 eV/atom
ΔE to the lowest computed polymorph   372 meV per atom


16.
First-principles (PBE-GGA) data for crystalline Ba2ZnMo at its relaxed geometry, as listed in the Alexandria database.

a b c (Å): 10.392 10.392 10.392
angles (deg): 21.71 21.71 21.71
Each line ends with the local moment (μB).
Fractional positions:
Ba (0.504, 0.504, 0.504)  -0.04
Ba (0.996, 0.996, 0.996)  -0.04
Zn (0.750, 0.750, 0.750)  -0.04
Mo (0.250, 0.250, 0.250)  2.23

Computed properties:
Total energy   -3.065 eV per atom
Fermi-level density of states   4.6 states/eV per cell
Space-group type   R-3m (166)
ΔE_f   0.92 eV/atom


17.
First-principles (PBE-GGA) data for crystalline BaZnMo at its relaxed geometry, as listed in the Alexandria database.

a b c (Å): 3.171 3.171 7.936
angles (deg): 90.00 90.00 120.00
Fractional positions:
Ba (0.000, 0.000, 0.005)
Zn (0.333, 0.667, 0.625)
Mo (0.667, 0.333, 0.369)

Computed properties:
Total energy   -3.675 eV per atom
Fermi-level density of states   3.3 states/eV per cell
Space-group type   P3m1 (156)
ΔE_f   1.00 eV/atom
ΔE to the lowest computed polymorph   246 meV per atom


18.
First-principles (PBE-GGA) data for crystalline BaZnMo2 at its relaxed geometry, as listed in the Alexandria database.

a b c (Å): 5.011 4.120 4.120
angles (deg): 90.00 90.00 90.00
Fractional positions:
Zn (0.500, 0.500, 0.000)
Mo (0.000, 0.500, 0.500)
Mo (0.000, 0.000, 0.000)
Ba (0.500, 0.000, 0.500)

Computed properties:
Total energy   -4.959 eV per atom
Fermi-level density of states   4.0 states/eV per cell
Space-group type   P4/mmm (123)
ΔE_f   1.26 eV/atom


19.
First-principles (PBE-GGA) data for crystalline BaZn2Mo at its relaxed geometry, as listed in the Alexandria database.

a b c (Å): 6.142 6.142 6.142
angles (deg): 149.34 126.16 63.24
Each line ends with the local moment (μB).
Fractional positions:
Ba (0.750, 0.250, 0.500)  0.00
Zn (0.048, 0.048, 0.000)  0.00
Mo (0.250, 0.750, 0.500)  0.31
Zn (0.452, 0.452, 0.000)  0.00

Computed properties:
Total energy   -3.140 eV per atom
Fermi-level density of states   4.5 states/eV per cell
Space-group type   Immm (71)
ΔE_f   0.69 eV/atom
ΔE to the lowest computed polymorph   343 meV per atom


20.
First-principles (PBE-GGA) data for crystalline Ba2ZnMo at its relaxed geometry, as listed in the Alexandria database.

a b c (Å): 5.781 5.781 3.963
angles (deg): 89.95 89.95 90.08
Each line ends with the local moment (μB).
Fractional positions:
Mo (0.500, 0.000, 0.500)  2.72
Ba (0.000, 0.000, 0.000)  -0.01
Ba (0.500, 0.500, 0.000)  -0.01
Zn (0.000, 0.500, 0.500)  -0.03

Computed properties:
Total energy   -3.260 eV per atom
Fermi-level density of states   3.3 states/eV per cell
Space-group type   Cmmm (65)
ΔE_f   0.73 eV/atom